# 1
Below is a geometry-optimized BC3 structure, with properties calculated at the PBE level. Values from VASP.

```
&SYSTEM
  ibrav = 0, nat = 12, ntyp = 2
/
ATOMIC_SPECIES
C 12.01 C.upf
B 10.81 B.upf
CELL_PARAMETERS angstrom
-3.2679 2.8361 1.5295
-4.5266 -0.3229 0.2300
2.1154 -2.3913 4.1425
ATOMIC_POSITIONS angstrom
C -2.2695 0.4282 1.2164
C -3.6187 1.0851 3.9688
C -0.3300 -0.5970 4.6670
C -2.6304 -1.2767 3.6619
C -4.8438 2.2417 1.8254
C -1.1503 -0.7831 3.3677
C -3.4678 -1.4791 2.3562
C -3.6475 -0.1563 1.6004
C -3.4518 -0.3219 4.6209
B -4.2610 0.9873 2.5130
B -1.5712 0.5947 2.6512
B -3.2607 2.7840 1.5415
```

Computed properties:
Crystal system ... triclinic
DFT total energy ... -8.296 eV per atom
Density ... 3.1 Mg/m³
DFT formation energy ... 0.292 eV/atom
Energy relative to the lowest polymorph listed for this composition ... 51 meV per atom

***

# 2
Below is a geometry-optimized NaTlPb2Cl6 structure, with properties calculated at the PBE level. Values from VASP.

```
&SYSTEM
  ibrav = 0, nat = 10, ntyp = 4
/
ATOMIC_SPECIES
Pb 207.20 Pb.upf
Cl 35.45 Cl.upf
Tl 204.38 Tl.upf
Na 22.99 Na.upf
CELL_PARAMETERS angstrom
-2.6317 -2.3307 -6.6684
4.7949 -1.7015 -5.5640
0.9405 -7.6146 -1.9769
ATOMIC_POSITIONS angstrom
Pb 0.9341 -7.4262 -2.0393
Pb 1.5403 -5.4897 -7.2163
Cl 3.1904 -7.7770 -7.9535
Cl -0.2638 -3.6217 -5.8462
Cl 4.0091 -3.9078 -7.1363
Cl 2.0493 -6.6985 -4.6117
Cl -0.4219 -7.6498 -7.1874
Cl 0.7362 -4.9843 -9.9942
Tl 2.2947 -7.7648 -10.9811
Na 0.7322 -1.6652 -3.9710
```

Computed properties:
Crystal system ... trigonal
DFT total energy ... -3.474 eV per atom
Energy relative to the elements, uncorrected ... -1256 meV per atom
Density ... 4.4 Mg/m³

***

# 3
Below is a geometry-optimized NbMo2HPd structure, with properties calculated at the PBE level. Values from VASP.

```
&SYSTEM
  ibrav = 0, nat = 5, ntyp = 4
/
ATOMIC_SPECIES
Nb 92.91 Nb.upf
Mo 95.94 Mo.upf
H 1.01 H.upf
Pd 106.42 Pd.upf
CELL_PARAMETERS angstrom
-2.1001 -1.9509 -2.8025
3.3328 -0.4552 -2.1806
0.7711 -3.6037 1.9308
ATOMIC_POSITIONS angstrom
Nb 1.0019 -3.0049 -1.5261
Mo 1.6664 -0.2276 -1.0903
Mo -1.0500 -0.9755 -1.4012
H 0.0000 0.0000 0.0000
Pd 0.3856 -1.8019 0.9654
```

Computed properties:
Crystal system ... tetragonal
DFT total energy ... -8.050 eV per atom
Density ... 9.7 Mg/m³
Energy relative to the lowest polymorph listed for this composition ... 27 meV per atom

***

# 4
Below is a geometry-optimized MoIrCl2 structure, with properties calculated at the PBE level. Values from VASP.

```
&SYSTEM
  ibrav = 0, nat = 4, ntyp = 3
/
ATOMIC_SPECIES
Cl 35.45 Cl.upf
Mo 95.94 Mo.upf
Ir 192.22 Ir.upf
CELL_PARAMETERS angstrom
2.8778 0.0000 0.0000
0.0000 2.8778 0.0000
0.0000 0.0000 9.0179
ATOMIC_POSITIONS angstrom
Cl 0.0000 0.0000 5.2257
Cl 0.0000 0.0000 8.3011
Mo 1.4389 1.4389 6.7634
Ir 1.4389 1.4389 2.2545
```

Computed properties:
Crystal system ... tetragonal
DFT total energy ... -4.987 eV per atom
Energy relative to the elements, uncorrected ... 859 meV per atom
Density ... 8.0 Mg/m³
Energy relative to the lowest polymorph listed for this composition ... 1092 meV per atom

***

# 5
Below is a geometry-optimized La2PrTmH structure, with properties calculated at the PBE level. Values from VASP.

```
&SYSTEM
  ibrav = 0, nat = 5, ntyp = 4
/
ATOMIC_SPECIES
H 1.01 H.upf
Tm 168.93 Tm.upf
La 138.91 La.upf
Pr 140.91 Pr.upf
CELL_PARAMETERS angstrom
5.0959 0.0000 0.0000
0.0000 5.2133 0.0000
0.0000 0.0000 5.2133
ATOMIC_POSITIONS angstrom
H 0.0000 0.0000 0.0000
Tm 2.5479 0.0000 0.0000
La 0.0000 2.6067 0.0000
La 0.0000 0.0000 2.6067
Pr 2.5479 2.6067 2.6067
```

Computed properties:
Crystal system ... tetragonal
DFT total energy ... -4.665 eV per atom
Density ... 7.1 Mg/m³